Entry 1:
Density functional theory data (GGA-PBE) for an optimized crystal structure of Tb2Sm3ScTe6.

Structure (CIF):
```
data_Tb2Sm3ScTe6
_space_group_name_H-M_alt 'C 1 2/m 1'
_space_group_IT_number 12
_cell_length_a 19.1030
_cell_length_b 4.3517
_cell_length_c 8.8039
_cell_angle_alpha 90.00
_cell_angle_beta 103.62
_cell_angle_gamma 90.00
loop_
_space_group_symop_operation_xyz
'x,y,z'
'-x,-y,-z'
'-x,y,-z'
'x,-y,z'
'x+1/2,y+1/2,z'
'-x+1/2,-y+1/2,-z'
'-x+1/2,y+1/2,-z'
'x+1/2,-y+1/2,z'
loop_
_atom_site_label
_atom_site_type_symbol
_atom_site_fract_x
_atom_site_fract_y
_atom_site_fract_z
Tb1 Tb 0.1673 0.0000 0.3337
Sm1 Sm 0.0000 0.5000 0.5000
Sm2 Sm 0.1721 0.0000 0.8368
Sc1 Sc 0.0000 0.5000 0.0000
Te1 Te 0.0008 0.0000 0.7648
Te2 Te 0.1587 0.5000 0.0834
Te3 Te 0.1675 0.5000 0.5802
```

***

Entry 2:
Density functional theory data (GGA-PBE) for an optimized crystal structure of Tb2SmScTe4.

Structure (CIF):
```
data_Tb2SmScTe4
_space_group_name_H-M_alt 'P 1 2/m 1'
_space_group_IT_number 10
_cell_length_a 7.5337
_cell_length_b 4.3060
_cell_length_c 7.5712
_cell_angle_alpha 90.00
_cell_angle_beta 108.98
_cell_angle_gamma 90.00
loop_
_space_group_symop_operation_xyz
'x,y,z'
'-x,-y,-z'
'-x,y,-z'
'x,-y,z'
loop_
_atom_site_label
_atom_site_type_symbol
_atom_site_fract_x
_atom_site_fract_y
_atom_site_fract_z
Tb1 Tb 0.0000 0.0000 0.0000
Tb2 Tb 0.0000 0.5000 0.5000
Sm1 Sm 0.5000 0.0000 0.5000
Sc1 Sc 0.5000 0.5000 0.0000
Te1 Te 0.2515 0.5000 0.2408
Te2 Te 0.2586 0.0000 0.7624
```

***

Entry 3:
Density functional theory data (GGA-PBE) for an optimized crystal structure of Tb2SmScTe6.

Structure (CIF):
```
data_Tb2SmScTe6
_space_group_name_H-M_alt 'R 3'
_space_group_IT_number 146
_space_group_name_Hall 'R 3'
_cell_length_a 7.6536
_cell_length_b 7.6536
_cell_length_c 20.9522
_cell_angle_alpha 90.00
_cell_angle_beta 90.00
_cell_angle_gamma 120.00
loop_
_atom_site_label
_atom_site_type_symbol
_atom_site_fract_x
_atom_site_fract_y
_atom_site_fract_z
Tb1 Tb 0.0000 0.0000 0.0000
Tb2 Tb 0.0000 0.0000 0.4977
Sm1 Sm 0.0000 0.0000 0.3120
Sc1 Sc 0.0000 0.0000 0.8146
Te1 Te 0.0025 0.3522 0.0731
Te2 Te 0.0018 0.6956 0.9020
```

***

Entry 4:
Density functional theory data (GGA-PBE) for an optimized crystal structure of Tb3Sm2ScTe6.

Structure (CIF):
```
data_Tb3Sm2ScTe6
_space_group_name_H-M_alt 'C 1 2/m 1'
_space_group_IT_number 12
_cell_length_a 19.0171
_cell_length_b 4.3451
_cell_length_c 8.7601
_cell_angle_alpha 90.00
_cell_angle_beta 102.72
_cell_angle_gamma 90.00
loop_
_space_group_symop_operation_xyz
'x,y,z'
'-x,-y,-z'
'-x,y,-z'
'x,-y,z'
'x+1/2,y+1/2,z'
'-x+1/2,-y+1/2,-z'
'-x+1/2,y+1/2,-z'
'x+1/2,-y+1/2,z'
loop_
_atom_site_label
_atom_site_type_symbol
_atom_site_fract_x
_atom_site_fract_y
_atom_site_fract_z
Tb1 Tb 0.0000 0.0000 0.0000
Tb2 Tb 0.1751 0.5000 0.3372
Sm1 Sm 0.1693 0.5000 0.8346
Sc1 Sc 0.0000 0.0000 0.5000
Te1 Te 0.0037 0.5000 0.2620
Te2 Te 0.1585 0.0000 0.5748
Te3 Te 0.1637 0.0000 0.0864
```

***

| no. | calculated density (g cm⁻³) | formation energy (no corrections) (eV/atom) |
| --- | --- | --- |
| 1 | 7.4 | -1.308 |
| 2 | 7.3 | -1.261 |
| 3 | 6.0 | -1.316 |
| 4 | 7.5 | -1.294 |